[1]
Density functional theory data (PBE) for a relaxed structure of NpBeSn.

Geometry as extended XYZ:
```
6
Lattice="4.655 0.000 0.000 0.000 3.457 0.000 -0.036 0.000 7.676" Properties=species:S:1:pos:R:3 pbc="T T T"
Np 0.000 0.000 0.000
Np 0.004 1.729 1.662
Be 2.330 0.000 1.248
Be 2.327 0.000 3.324
Sn -0.002 0.000 4.510
Sn 2.292 1.729 6.818
```

## Properties
total moment = 0.000 μB per atom
E_form = 325 meV/atom



[2]
Density functional theory data (PBE) for a relaxed structure of Dy3InFe3.

Geometry as extended XYZ:
```
14
Lattice="9.572 0.000 0.000 -4.786 8.290 0.000 0.000 0.000 3.952" Properties=species:S:1:pos:R:3 pbc="T T T"
Dy -2.614 5.648 0.988
Dy 1.201 3.202 0.988
Dy 3.374 0.561 2.964
Dy 1.412 7.729 0.988
Dy 3.585 5.088 2.964
Dy 7.400 2.641 2.964
In 0.000 5.526 2.964
In 4.786 2.763 0.988
Fe -3.955 7.169 2.964
Fe 0.555 1.280 2.964
Fe 1.386 0.159 0.988
Fe 3.400 8.130 2.964
Fe 4.231 7.010 0.988
Fe 8.741 1.120 0.988
```

## Properties
total moment = 0.731 μB per atom
E_form = -92 meV/atom



[3]
Density functional theory data (PBE) for a relaxed structure of KSr2PrTe4.

Geometry as extended XYZ:
```
8
Lattice="8.116 0.000 0.000 0.000 4.729 0.000 -2.634 0.000 7.842" Properties=species:S:1:pos:R:3 pbc="T T T"
K 0.000 0.000 0.000
Sr 2.741 0.000 3.921
Sr 4.058 2.365 0.000
Pr -1.317 2.365 3.921
Te 0.023 0.000 5.770
Te 1.341 2.365 2.097
Te 4.140 2.365 5.744
Te 5.459 0.000 2.072
```

## Properties
total moment = 0.000 μB per atom
calculated total energy = -34.04 eV per formula unit



[4]
Density functional theory data (PBE) for a relaxed structure of Re2HgSb.

Geometry as extended XYZ:
```
4
Lattice="4.774 0.000 0.000 0.000 3.051 0.000 -1.991 0.000 4.903" Properties=species:S:1:pos:R:3 pbc="T T T"
Re 0.000 0.000 0.000
Re -0.996 1.525 2.451
Hg 1.391 0.000 2.451
Sb 2.387 1.525 0.000
```

## Properties
total moment = 0.000 μB per atom
excess energy over the best structure of this formula in the dataset = 0.573 eV per atom



[5]
Density functional theory data (PBE) for a relaxed structure of TiZnCu2Pd.

Geometry as extended XYZ:
```
10
Lattice="5.865 0.000 0.000 0.000 3.883 0.000 -0.265 0.000 6.121" Properties=species:S:1:pos:R:3 pbc="T T T"
Ti 1.322 0.971 1.623
Ti 4.278 2.912 4.498
Zn 1.801 2.912 5.802
Zn 3.799 0.971 0.319
Cu 0.818 2.912 3.384
Cu 2.508 0.971 3.979
Cu 3.092 2.912 2.142
Cu 4.783 0.971 2.737
Pd 0.073 0.971 5.158
Pd 5.527 2.912 0.963
```

## Properties
total moment = 0.000 μB per atom
E_form = -256 meV/atom
excess energy over the best structure of this formula in the dataset = 0.000 eV per atom



[6]
Density functional theory data (PBE) for a relaxed structure of CsPrPaS4.

Geometry as extended XYZ:
```
14
Lattice="-4.258 4.503 6.151 4.258 -4.503 6.151 4.258 4.503 -6.151" Properties=species:S:1:pos:R:3 pbc="T T T"
Cs 0.000 2.251 1.669
Cs 4.258 2.251 4.482
Pr 4.258 0.000 0.000
Pr 0.000 0.000 6.151
Pa 2.129 2.251 -3.075
Pa 2.129 -2.251 3.075
S 4.258 -0.514 2.871
S 4.258 3.988 -2.871
S 2.448 2.251 -0.376
S 6.067 2.251 -0.376
S -1.810 2.251 6.527
S 1.810 2.251 6.527
S 0.000 0.514 9.021
S 0.000 5.017 3.280
```

## Properties
total moment = 0.148 μB per atom
calculated total energy = -43.15 eV per formula unit



[7]
Density functional theory data (PBE) for a relaxed structure of Rb2PbF4.

Geometry as extended XYZ:
```
7
Lattice="6.297 -1.878 0.000 6.297 1.878 0.000 -3.693 0.000 6.525" Properties=species:S:1:pos:R:3 pbc="T T T"
Rb 1.254 0.000 1.176
Rb 7.648 0.000 5.349
Pb 4.451 0.000 3.263
F -0.203 0.000 3.729
F 5.153 0.000 0.962
F 3.749 0.000 5.563
F 9.105 0.000 2.796
```

## Properties
total moment = 0.000 μB per atom
excess energy over the best structure of this formula in the dataset = 0.035 eV per atom



[8]
Density functional theory data (PBE) for a relaxed structure of ZrP2BrCl.

Geometry as extended XYZ:
```
5
Lattice="5.150 0.000 0.000 0.000 5.150 0.000 0.000 0.000 4.967" Properties=species:S:1:pos:R:3 pbc="T T T"
Zr 0.000 0.000 0.000
P 0.000 2.575 0.000
P 2.575 0.000 0.000
Br 2.575 2.575 2.483
Cl 0.000 0.000 2.483
```

## Properties
total moment = 0.165 μB per atom
excess energy over the best structure of this formula in the dataset = 0.000 eV per atom



[9]
Density functional theory data (PBE) for a relaxed structure of Pr3TaSe6.

Geometry as extended XYZ:
```
20
Lattice="5.826 -7.158 0.000 5.826 7.158 0.000 0.000 0.000 6.999" Properties=species:S:1:pos:R:3 pbc="T T T"
Pr 5.826 5.808 3.500
Pr 3.766 1.335 4.170
Pr 3.766 -1.335 0.670
Pr 7.887 1.335 4.170
Pr 7.887 -1.335 0.670
Pr 5.826 -5.808 0.000
Ta 5.826 2.743 1.043
Ta 5.826 -2.743 4.543
Se 3.902 3.779 2.166
Se 1.890 0.473 2.086
Se 1.890 -0.473 5.586
Se 5.826 3.166 5.605
Se 7.751 3.779 2.166
Se 5.826 0.419 2.019
Se 5.826 -0.419 5.519
Se 3.902 -3.779 5.665
Se 5.826 -3.166 2.105
Se 9.763 0.473 2.086
Se 9.763 -0.473 5.586
Se 7.751 -3.779 5.665
```

## Properties
total moment = 0.108 μB per atom
calculated total energy = -61.26 eV per formula unit